Entry 1:
Mg2Pb2I after structural relaxation. Source: Alexandria via LeMat-Bulk, functional PBE.

SG	P4/mbm (127)
energy	-25.0	eV for the cell shown
ΔE_f (raw)	-69	meV per atom

```
10
Lattice="8.725 0.000 0.000 0.000 8.725 0.000 0.000 0.000 3.904" Properties=species:S:1:pos:R:3 pbc="T T T"
Pb 5.462 7.626 1.952
Pb 7.626 3.263 1.952
Pb 3.263 1.099 1.952
Pb 1.099 5.462 1.952
Mg 2.878 7.241 0.000
Mg 5.847 1.484 0.000
Mg 7.241 5.847 0.000
Mg 1.484 2.878 0.000
I 0.000 0.000 0.000
I 4.362 4.362 0.000
```


Entry 2:
Mg2PbI after structural relaxation. Source: Alexandria via LeMat-Bulk, functional PBE.

SG	I-42d (122)
energy	-17.5	eV for the cell shown
ΔE_f (raw)	-77	meV per atom

```
8
Lattice="-0.565 0.451 -7.013 -0.419 -7.025 -0.418 -6.729 -2.946 -3.192" Properties=species:S:1:pos:R:3 pbc="T T T"
I -3.820 -6.629 -3.663
I -0.492 -3.287 -3.716
Pb 0.000 0.000 0.000
Pb -3.893 -2.891 -6.960
Mg -2.003 -5.080 -1.793
Mg -5.407 -4.532 -5.172
Mg -5.916 -8.105 -8.905
Mg -2.099 -1.324 -5.376
```


Entry 3:
MgSb2PbI after structural relaxation. Source: Alexandria via LeMat-Bulk, functional PBE.

SG	P4/mmm (123)
energy	-12.0	eV for the cell shown
ΔE_f (raw)	614	meV per atom

```
5
Lattice="5.887 0.000 0.000 0.000 5.887 0.000 0.000 0.000 6.108" Properties=species:S:1:pos:R:3 pbc="T T T"
Sb 0.000 2.943 0.000
Sb 2.943 0.000 0.000
I 0.000 0.000 3.054
Mg 2.943 2.943 3.054
Pb 0.000 0.000 0.000
```


How do the records compare in ρ? In the order shown, they have 6.591, 4.079, 4.723 g/cm³.